# 1
Density functional theory data (GGA-PBE) for a geometry-optimized ZnTcAs2 structure.

Formation energy = 0.21 eV per atom
Spin magnetization = 0.00 μB/atom

a b c (Å): 4.222 4.222 7.102
angles (deg): 90.00 90.00 90.00
Space group I4/mmm (No. 139)
One atom of each set of equivalent atoms:
Zn 0.000 0.000 0.000
Tc 0.000 0.000 0.500
As 0.000 0.500 0.250

=====

# 2
Density functional theory data (GGA-PBE) for a geometry-optimized ZnTcAs2 structure.

Formation energy = 0.23 eV per atom
Spin magnetization = 0.00 μB/atom

a b c (Å): 3.171 4.854 9.619
angles (deg): 90.00 90.00 90.00
Space group Cmm2 (No. 35)
One atom of each set of equivalent atoms:
Zn 0.000 0.000 0.000
Tc 0.000 0.500 0.222
As 0.000 0.000 0.415
As 0.000 0.500 0.780

=====

# 3
Density functional theory data (GGA-PBE) for a geometry-optimized ZnTc2As structure.

Formation energy = 0.26 eV per atom
Distance to the lowest polymorph of the same formula = 0.977 eV/f.u.
Spin magnetization = 0.00 μB/atom

a b c (Å): 5.648 8.243 2.866
angles (deg): 90.00 116.00 90.00
Space group C2/m (No. 12)
One atom of each set of equivalent atoms:
Zn 0.000 0.000 0.000
Tc 0.250 0.250 0.500
As 0.000 0.500 0.000

=====

What did the third record say?
Density functional theory data (GGA-PBE) for a geometry-optimized ZnTc2As structure.

Formation energy = 0.26 eV per atom
Distance to the lowest polymorph of the same formula = 0.977 eV/f.u.
Spin magnetization = 0.00 μB/atom

a b c (Å): 5.648 8.243 2.866
angles (deg): 90.00 116.00 90.00
Space group C2/m (No. 12)
One atom of each set of equivalent atoms:
Zn 0.000 0.000 0.000
Tc 0.250 0.250 0.500
As 0.000 0.500 0.000